Entry 1:
# NpS6I2

An optimized crystal structure of NpS6I2 (PBE, Alexandria via LeMat-Bulk).

Structure (CIF):
```
data_NpS6I2
_symmetry_space_group_name_H-M 'P 1'
_symmetry_Int_Tables_number 1
_symmetry_space_group_name_Hall 'P 1'
_cell_length_a 4.496
_cell_length_b 9.589
_cell_length_c 9.109
_cell_angle_alpha 122.59
_cell_angle_beta 83.44
_cell_angle_gamma 94.46
loop_
_atom_site_label
_atom_site_fract_x
_atom_site_fract_y
_atom_site_fract_z
S1 0.948 0.305 0.291
S2 0.199 0.376 0.649
S3 0.899 0.254 0.485
S4 0.101 0.746 0.515
S5 0.052 0.695 0.709
S6 0.801 0.624 0.351
Np1 0.000 0.000 0.000
I1 0.450 0.877 0.141
I2 0.550 0.123 0.859
```

Summary:
Crystal system: triclinic
Energy relative to the elements, uncorrected, eV per atom: -0.221
Mass density, g/cm3: 3.45
Calculated volume, A^3/atom: 36.51
Size of the total moment, μB/cell: 3.67


Entry 2:
# Np2S2I

An optimized crystal structure of Np2S2I (PBE, Alexandria via LeMat-Bulk).

Structure (CIF):
```
data_Np2S2I
_symmetry_space_group_name_H-M 'P 1'
_symmetry_Int_Tables_number 1
_symmetry_space_group_name_Hall 'P 1'
_cell_length_a 3.773
_cell_length_b 8.932
_cell_length_c 8.932
_cell_angle_alpha 90.00
_cell_angle_beta 90.00
_cell_angle_gamma 90.00
loop_
_atom_site_label
_atom_site_fract_x
_atom_site_fract_y
_atom_site_fract_z
S1 0.500 0.131 0.369
S2 0.500 0.369 0.869
S3 0.500 0.869 0.631
S4 0.500 0.631 0.131
Np1 0.500 0.339 0.161
Np2 0.500 0.661 0.839
Np3 0.500 0.839 0.339
Np4 0.500 0.161 0.661
I1 0.000 0.000 0.000
I2 0.000 0.500 0.500
```

Summary:
Crystal system: tetragonal
Energy relative to the elements, uncorrected, eV per atom: -0.618
Mass density, g/cm3: 7.34
Calculated volume, A^3/atom: 30.11
Size of the total moment, μB/cell: 17.96


Entry 3:
# NpSbI

An optimized crystal structure of NpSbI (PBE, Alexandria via LeMat-Bulk).

Structure (CIF):
```
data_NpSbI
_symmetry_space_group_name_H-M 'P 1'
_symmetry_Int_Tables_number 1
_symmetry_space_group_name_Hall 'P 1'
_cell_length_a 3.495
_cell_length_b 5.340
_cell_length_c 5.340
_cell_angle_alpha 120.00
_cell_angle_beta 90.00
_cell_angle_gamma 90.00
loop_
_atom_site_label
_atom_site_fract_x
_atom_site_fract_y
_atom_site_fract_z
I1 0.167 0.333 0.667
Np1 0.166 0.000 0.000
Sb1 0.667 0.667 0.333
```

Summary:
Crystal system: hexagonal
Energy relative to the elements, uncorrected, eV per atom: -0.030
Mass density, g/cm3: 9.34
Calculated volume, A^3/atom: 28.77
Size of the total moment, μB/cell: 3.90
Excess energy over the best structure of this formula in the dataset, meV per atom: 162


Entry 4:
# NpSbI

An optimized crystal structure of NpSbI (PBE, Alexandria via LeMat-Bulk).

Structure (CIF):
```
data_NpSbI
_symmetry_space_group_name_H-M 'P 1'
_symmetry_Int_Tables_number 1
_symmetry_space_group_name_Hall 'P 1'
_cell_length_a 5.794
_cell_length_b 5.572
_cell_length_c 5.984
_cell_angle_alpha 90.00
_cell_angle_beta 118.95
_cell_angle_gamma 90.00
loop_
_atom_site_label
_atom_site_fract_x
_atom_site_fract_y
_atom_site_fract_z
Sb1 0.072 0.750 0.144
Sb2 0.928 0.250 0.856
I1 0.607 0.250 0.214
I2 0.393 0.750 0.786
Np1 0.251 0.250 0.502
Np2 0.749 0.750 0.498
```

Summary:
Crystal system: orthorhombic
Energy relative to the elements, uncorrected, eV per atom: -0.192
Mass density, g/cm3: 9.54
Calculated volume, A^3/atom: 28.17
Size of the total moment, μB/cell: 8.42
Excess energy over the best structure of this formula in the dataset, meV per atom: 0


Entry 5:
# NpSbI6

An optimized crystal structure of NpSbI6 (PBE, Alexandria via LeMat-Bulk).

Structure (CIF):
```
data_NpSbI6
_symmetry_space_group_name_H-M 'P 1'
_symmetry_Int_Tables_number 1
_symmetry_space_group_name_Hall 'P 1'
_cell_length_a 7.995
_cell_length_b 7.995
_cell_length_c 7.610
_cell_angle_alpha 98.35
_cell_angle_beta 98.35
_cell_angle_gamma 123.14
loop_
_atom_site_label
_atom_site_fract_x
_atom_site_fract_y
_atom_site_fract_z
Sb1 0.500 0.500 0.500
I1 0.107 0.408 0.253
I2 0.893 0.592 0.747
I3 0.592 0.893 0.747
I4 0.246 0.246 0.749
I5 0.754 0.754 0.251
I6 0.408 0.107 0.253
Np1 0.000 0.000 0.000
```

Summary:
Crystal system: monoclinic
Energy relative to the elements, uncorrected, eV per atom: -0.550
Mass density, g/cm3: 4.79
Calculated volume, A^3/atom: 48.49
Size of the total moment, μB/cell: 4.00


Entry 6:
# NpSe2I

An optimized crystal structure of NpSe2I (PBE, Alexandria via LeMat-Bulk).

Structure (CIF):
```
data_NpSe2I
_symmetry_space_group_name_H-M 'P 1'
_symmetry_Int_Tables_number 1
_symmetry_space_group_name_Hall 'P 1'
_cell_length_a 4.028
_cell_length_b 4.028
_cell_length_c 10.653
_cell_angle_alpha 89.63
_cell_angle_beta 89.60
_cell_angle_gamma 60.00
loop_
_atom_site_label
_atom_site_fract_x
_atom_site_fract_y
_atom_site_fract_z
Se1 0.863 0.863 0.467
Se2 0.533 0.533 0.176
I1 0.535 0.534 0.807
Np1 0.198 0.198 0.322
```

Summary:
Crystal system: monoclinic
Energy relative to the elements, uncorrected, eV per atom: -0.604
Mass density, g/cm3: 5.79
Calculated volume, A^3/atom: 37.42
Size of the total moment, μB/cell: 2.51
Excess energy over the best structure of this formula in the dataset, meV per atom: 55


Entry 7:
# NpSe2I

An optimized crystal structure of NpSe2I (PBE, Alexandria via LeMat-Bulk).

Structure (CIF):
```
data_NpSe2I
_symmetry_space_group_name_H-M 'P 1'
_symmetry_Int_Tables_number 1
_symmetry_space_group_name_Hall 'P 1'
_cell_length_a 4.489
_cell_length_b 4.489
_cell_length_c 8.306
_cell_angle_alpha 74.32
_cell_angle_beta 74.32
_cell_angle_gamma 60.00
loop_
_atom_site_label
_atom_site_fract_x
_atom_site_fract_y
_atom_site_fract_z
Np1 0.653 0.653 0.041
Se1 0.043 0.043 0.870
Se2 0.282 0.282 0.155
I1 0.522 0.522 0.435
```

Summary:
Crystal system: trigonal
Energy relative to the elements, uncorrected, eV per atom: -0.659
Mass density, g/cm3: 6.29
Calculated volume, A^3/atom: 34.42
Size of the total moment, μB/cell: 1.96
Excess energy over the best structure of this formula in the dataset, meV per atom: 0


Entry 8:
# NpSe2I

An optimized crystal structure of NpSe2I (PBE, Alexandria via LeMat-Bulk).

Structure (CIF):
```
data_NpSe2I
_symmetry_space_group_name_H-M 'P 1'
_symmetry_Int_Tables_number 1
_symmetry_space_group_name_Hall 'P 1'
_cell_length_a 4.024
_cell_length_b 4.024
_cell_length_c 10.575
_cell_angle_alpha 79.03
_cell_angle_beta 79.03
_cell_angle_gamma 60.00
loop_
_atom_site_label
_atom_site_fract_x
_atom_site_fract_y
_atom_site_fract_z
Se1 0.717 0.717 0.850
Se2 0.283 0.283 0.150
I1 0.500 0.500 0.500
Np1 0.000 0.000 0.000
```

Summary:
Crystal system: trigonal
Energy relative to the elements, uncorrected, eV per atom: -0.605
Mass density, g/cm3: 5.99
Calculated volume, A^3/atom: 36.17
Size of the total moment, μB/cell: 2.56
Excess energy over the best structure of this formula in the dataset, meV per atom: 54


Entry 9:
# NpSeI2

An optimized crystal structure of NpSeI2 (PBE, Alexandria via LeMat-Bulk).

Structure (CIF):
```
data_NpSeI2
_symmetry_space_group_name_H-M 'P 1'
_symmetry_Int_Tables_number 1
_symmetry_space_group_name_Hall 'P 1'
_cell_length_a 4.017
_cell_length_b 5.283
_cell_length_c 8.658
_cell_angle_alpha 107.29
_cell_angle_beta 90.00
_cell_angle_gamma 112.34
loop_
_atom_site_label
_atom_site_fract_x
_atom_site_fract_y
_atom_site_fract_z
Np1 0.727 0.455 0.375
Se1 0.438 0.877 0.375
I1 0.248 0.497 0.660
I2 0.086 0.172 0.090
```

Summary:
Crystal system: monoclinic
Energy relative to the elements, uncorrected, eV per atom: -0.759
Mass density, g/cm3: 5.88
Calculated volume, A^3/atom: 40.23
Size of the total moment, μB/cell: 2.99


Entry 10:
# Np6Se12I

An optimized crystal structure of Np6Se12I (PBE, Alexandria via LeMat-Bulk).

Structure (CIF):
```
data_Np6Se12I
_symmetry_space_group_name_H-M 'P 1'
_symmetry_Int_Tables_number 1
_symmetry_space_group_name_Hall 'P 1'
_cell_length_a 8.345
_cell_length_b 8.345
_cell_length_c 8.345
_cell_angle_alpha 103.76
_cell_angle_beta 103.76
_cell_angle_gamma 103.76
loop_
_atom_site_label
_atom_site_fract_x
_atom_site_fract_y
_atom_site_fract_z
Se1 0.548 0.811 0.548
Se2 0.870 0.500 0.130
Se3 0.811 0.548 0.548
Se4 0.452 0.189 0.452
Se5 0.130 0.870 0.500
Se6 0.189 0.452 0.452
Se7 0.500 0.130 0.870
Se8 0.452 0.452 0.189
Se9 0.548 0.548 0.811
Se10 0.500 0.870 0.130
Se11 0.870 0.130 0.500
Se12 0.130 0.500 0.870
Np1 0.755 0.755 0.336
Np2 0.336 0.755 0.755
Np3 0.245 0.245 0.664
Np4 0.664 0.245 0.245
Np5 0.755 0.336 0.755
Np6 0.245 0.664 0.245
I1 0.000 0.000 0.000
```

Summary:
Crystal system: trigonal
Energy relative to the elements, uncorrected, eV per atom: -0.927
Mass density, g/cm3: 7.96
Calculated volume, A^3/atom: 27.41
Size of the total moment, μB/cell: 17.00